A.
A plane-wave DFT calculation with PBE was carried out for crystalline YCr2Re at its relaxed geometry.

a b c (Å): 4.5468 4.5468 4.5468
angles (deg): 60.00 60.00 60.00
Closest atoms and distances in Å follow each position.
Element x y z (fractional)
Y 0.0000 0.0000 0.0000  4 Cr 2.78, 4 Re 2.78
Cr 0.2500 0.2500 0.2500  4 Cr 2.78, 4 Y 2.78
Cr 0.5000 0.5000 0.5000  4 Cr 2.78, 4 Re 2.78
Re 0.7500 0.7500 0.7500  4 Cr 2.78, 4 Y 2.78

Summary:
total magnetization	1.307	μB per formula unit
calculated density	9.47	g/cm³



B.
A plane-wave DFT calculation with PBE was carried out for crystalline YCr2Re at its relaxed geometry.

a b c (Å): 5.1937 5.1937 5.1937
angles (deg): 144.53 125.53 66.70
Closest atoms and distances in Å follow each position.
Element x y z (fractional)
Y 0.0000 0.0000 0.0000  8 Cr 2.85-3.09, 4 Re 2.86, 2 Y 3.16
Cr 0.2728 0.7728 0.5000  2 Re 2.53
Cr 0.7272 0.2272 0.5000  2 Re 2.53
Re 0.5000 0.5000 0.0000  4 Cr 2.53

Summary:
total magnetization	0.002	μB per formula unit
calculated density	9.65	g/cm³



C.
A plane-wave DFT calculation with PBE was carried out for crystalline YCr2Re at its relaxed geometry.

a b c (Å): 3.2322 4.5252 4.6057
angles (deg): 90.00 90.00 90.00
Closest atoms and distances in Å follow each position.
Element x y z (fractional)
Y 0.0000 0.0000 0.0000  4 Cr 2.78, 4 Re 2.81
Cr 0.0000 0.5000 0.5000  4 Re 2.78, 4 Cr 2.81
Cr 0.5000 0.5000 0.0000  4 Y 2.78, 4 Cr 2.81
Re 0.5000 0.0000 0.5000  4 Cr 2.78, 4 Y 2.81

Summary:
total magnetization	1.261	μB per formula unit
calculated density	9.34	g/cm³



Q: Which of them is the least stable? A: C.